VASP calculation (PBE-GGA) on crystalline LiTm2MgAu4 at its relaxed geometry.

POSCAR file:
```
LiTm2MgAu4
1.0
2.421 1.398 7.885
-2.421 1.398 7.885
0.000 -2.795 7.885
Li Tm Mg Au
1 2 1 4
direct
0.000 0.000 0.000
0.251 0.251 0.251
0.749 0.749 0.749
0.500 0.500 0.500
0.125 0.125 0.125
0.375 0.375 0.375
0.625 0.625 0.625
0.875 0.875 0.875
```

Calculated values
* VASP energy: -3.95 eV/atom
* M_tot: 0.000 μB per atom
* E_form: -0.755 eV per atom